Density functional theory data (GGA-PBE) for crystalline La2SmMg at its relaxed geometry.

abc: 7.583 7.579 9.948
angles: 90.00 112.39 90.00
Space group C2/m (No. 12)
Asymmetric unit:
La1 0.136 0.000 0.271
La2 0.250 0.250 0.000
Sm1 0.139 0.500 0.278
Mg1 0.000 0.250 0.500

## Properties
**Size of the total moment**: 0.0 μB per formula unit



Density functional theory data (GGA-PBE) for crystalline La7Sm2Mg2 at its relaxed geometry.

abc: 9.225 10.300 8.199
angles: 90.00 100.17 90.00
Space group C2/m (No. 12)
Asymmetric unit:
La1 0.000 0.000 0.000
La2 0.166 0.500 0.475
La3 0.198 0.280 0.183
Sm1 0.000 0.170 0.500
Mg1 0.105 0.500 0.869

## Properties
**Size of the total moment**: 0.0 μB per formula unit



Density functional theory data (GGA-PBE) for crystalline LaSm2Mg at its relaxed geometry.

abc: 8.012 8.012 8.012
angles: 90.00 90.00 90.00
Space group Fm-3m (No. 225)
Asymmetric unit:
La1 0.000 0.000 0.000
Sm1 0.250 0.250 0.250
Mg1 0.000 0.000 0.500

## Properties
**Size of the total moment**: 0.0 μB per formula unit



Number 1: formation enthalpy at 0 K -43.0 meV per atom, DOS(E_F) 19.313 states/eV/cell. Number 2: formation enthalpy at 0 K 109.8 meV per atom, DOS(E_F) 28.436 states/eV/cell. Number 3: formation enthalpy at 0 K 85.7 meV per atom, DOS(E_F) 26.315 states/eV/cell.